Entry from Alexandria: crystalline CaTaPt4 at its relaxed geometry (GGA-PBEsol).

## Properties
Total energy = -0.2754 Ha/atom
Fermi-level density of states = 5.8 states/eV/cell
ΔH_f (0 K) = -0.404 eV/atom

Unit cell a=5.2545 b=5.2545 c=5.2545 alpha=60.00 beta=60.00 gamma=60.00
Atoms (fractional coordinates):
Ca 0.0000 0.0000 0.0000
Ta 0.7500 0.7500 0.7500
Pt 0.3751 0.3751 0.3751
Pt 0.3751 0.3751 0.8746
Pt 0.3751 0.8746 0.3751
Pt 0.8746 0.3751 0.3751